(1)
TlSnAu: relaxed, PBE.

Calculated values
mass density = 10.91 g/cm3
space group = P2_1/m
V = 158 Å³ per cell
formation energy = -0.202 eV per formula unit

a b c (Å): 3.803 4.225 10.031
angles (deg): 90.00 100.81 90.00
Sites, in units of the cell vectors:
Tl: 0.198 0.250 0.404
Tl: 0.802 0.750 0.596
Sn: 0.477 0.250 0.828
Sn: 0.523 0.750 0.172
Au: 0.057 0.750 0.906
Au: 0.943 0.250 0.094

(2)
TbPr2TmSb4: relaxed, PBE.

Calculated values
mass density = 7.23 g/cm3
space group = P2/m
V = 252 Å³ per cell
energy relative to the elements, uncorrected = -1.144 eV/atom

a b c (Å): 7.726 4.470 7.737
angles (deg): 90.00 109.51 90.00
Sites, in units of the cell vectors:
Tb: 0.000 0.000 0.000
Pr: 0.500 0.000 0.500
Pr: 0.500 0.500 0.000
Tm: 0.000 0.500 0.500
Sb: 0.237 0.000 0.744
Sb: 0.239 0.500 0.248
Sb: 0.761 0.500 0.752
Sb: 0.763 0.000 0.256

(3)
CaLaSi2: relaxed, PBE.

Calculated values
mass density = 4.06 g/cm3
space group = Cmmm
V = 96 Å³ per cell
energy relative to the elements, uncorrected = -0.361 eV/atom

a b c (Å): 5.384 5.384 3.381
angles (deg): 90.00 90.00 100.93
Sites, in units of the cell vectors:
Ca: 0.000 0.000 0.000
La: 0.500 0.500 0.000
Si: 0.000 0.500 0.500
Si: 0.500 0.000 0.500

(4)
ZrH2Os: relaxed, PBE.

Calculated values
mass density = 11.14 g/cm3
total energy = -6.76 eV/atom
space group = I-42d
V = 84 Å³ per cell

a b c (Å): 5.532 5.532 5.532
angles (deg): 134.61 134.61 66.13
Sites, in units of the cell vectors:
Zr: 0.000 0.000 0.000
Zr: 0.750 0.250 0.500
H: 0.181 0.625 0.056
H: 0.375 0.431 0.556
H: 0.569 0.125 0.944
H: 0.875 0.819 0.444
Os: 0.250 0.750 0.500
Os: 0.500 0.500 0.000

(5)
Na14HgAu: relaxed, PBE.

Calculated values
mass density = 2.36 g/cm3
space group = P4/mmm
V = 507 Å³ per cell
formation energy = -1.073 eV per formula unit

a b c (Å): 7.066 7.066 10.152
angles (deg): 90.00 90.00 90.00
Sites, in units of the cell vectors:
Na: 0.000 0.000 0.000
Na: 0.000 0.500 0.000
Na: 0.000 0.500 0.500
Na: 0.245 0.245 0.284
Na: 0.245 0.245 0.716
Na: 0.245 0.755 0.284
Na: 0.245 0.755 0.716
Na: 0.500 0.000 0.000
Na: 0.500 0.000 0.500
Na: 0.500 0.500 0.000
Na: 0.755 0.245 0.284
Na: 0.755 0.245 0.716
Na: 0.755 0.755 0.284
Na: 0.755 0.755 0.716
Hg: 0.500 0.500 0.500
Au: 0.000 0.000 0.500

(6)
Sr2Li3Ag4: relaxed, PBE.

Calculated values
mass density = 5.02 g/cm3
space group = Cmce
V = 416 Å³ per cell
formation energy = -1.863 eV per formula unit

a b c (Å): 8.789 8.789 8.128
angles (deg): 90.00 90.00 138.56
Sites, in units of the cell vectors:
Sr: 0.112 0.888 0.912
Sr: 0.388 0.612 0.412
Sr: 0.612 0.388 0.588
Sr: 0.888 0.112 0.088
Li: 0.000 0.000 0.500
Li: 0.027 0.473 0.750
Li: 0.473 0.027 0.250
Li: 0.500 0.500 0.000
Li: 0.527 0.973 0.750
Li: 0.973 0.527 0.250
Ag: 0.177 0.823 0.512
Ag: 0.191 0.309 0.750
Ag: 0.309 0.191 0.250
Ag: 0.323 0.677 0.012
Ag: 0.677 0.323 0.988
Ag: 0.691 0.809 0.750
Ag: 0.809 0.691 0.250
Ag: 0.823 0.177 0.488

(7)
CrMo2OsPd: relaxed, PBE.

Calculated values
mass density = 8.92 g/cm3
space group = P4/mmm
V = 101 Å³ per cell
formation energy = 12.729 eV per formula unit

a b c (Å): 4.628 4.628 4.699
angles (deg): 90.00 90.00 90.00
Sites, in units of the cell vectors:
Cr: 0.000 0.000 0.000
Mo: 0.000 0.500 0.500
Mo: 0.500 0.000 0.500
Os: 0.500 0.500 0.000
Pd: 0.500 0.500 0.500

(8)
VSi2Ru: relaxed, PBE.

Calculated values
mass density = 5.97 g/cm3
space group = I-42d
V = 116 Å³ per cell
energy relative to the elements, uncorrected = 0.055 eV/atom

a b c (Å): 9.035 9.035 9.035
angles (deg): 156.65 156.65 33.26
Sites, in units of the cell vectors:
V: 0.000 0.000 0.000
V: 0.750 0.250 0.500
Si: 0.125 0.625 0.000
Si: 0.375 0.375 0.500
Si: 0.625 0.125 0.000
Si: 0.875 0.875 0.500
Ru: 0.250 0.750 0.500
Ru: 0.500 0.500 0.000

(9)
Cu3As: relaxed, PBE.

Calculated values
mass density = 7.79 g/cm3
space group = I-43d
V = 453 Å³ per cell
formation energy = 0.071 eV per formula unit

a b c (Å): 8.380 8.380 8.380
angles (deg): 109.47 109.47 109.47
Sites, in units of the cell vectors:
Cu: 0.066 0.912 0.715
Cu: 0.088 0.303 0.154
Cu: 0.149 0.846 0.434
Cu: 0.154 0.088 0.303
Cu: 0.197 0.285 0.851
Cu: 0.215 0.412 0.566
Cu: 0.285 0.851 0.197
Cu: 0.303 0.154 0.088
Cu: 0.346 0.649 0.934
Cu: 0.351 0.785 0.697
Cu: 0.412 0.566 0.215
Cu: 0.434 0.149 0.846
Cu: 0.566 0.215 0.412
Cu: 0.588 0.654 0.803
Cu: 0.649 0.934 0.346
Cu: 0.654 0.803 0.588
Cu: 0.697 0.351 0.785
Cu: 0.715 0.066 0.912
Cu: 0.785 0.697 0.351
Cu: 0.803 0.588 0.654
Cu: 0.846 0.434 0.149
Cu: 0.851 0.197 0.285
Cu: 0.912 0.715 0.066
Cu: 0.934 0.346 0.649
As: 0.000 0.065 0.500
As: 0.000 0.565 0.500
As: 0.065 0.500 0.000
As: 0.435 0.435 0.435
As: 0.500 0.000 0.065
As: 0.500 0.000 0.565
As: 0.565 0.500 0.000
As: 0.935 0.935 0.935

(10)
Sr2Tl3Br7: relaxed, PBE.

Calculated values
mass density = 4.70 g/cm3
space group = Cmc2_1
V = 952 Å³ per cell
energy relative to the elements, uncorrected = -1.487 eV/atom

a b c (Å): 14.604 14.604 8.525
angles (deg): 90.00 90.00 31.56
Sites, in units of the cell vectors:
Sr: 0.148 0.647 0.500
Sr: 0.353 0.852 0.500
Sr: 0.647 0.148 0.000
Sr: 0.852 0.353 0.000
Tl: 0.055 0.562 0.086
Tl: 0.228 0.772 0.921
Tl: 0.438 0.945 0.086
Tl: 0.562 0.055 0.586
Tl: 0.772 0.228 0.421
Tl: 0.945 0.438 0.586
Br: 0.012 0.140 0.693
Br: 0.074 0.334 0.956
Br: 0.140 0.012 0.193
Br: 0.310 0.438 0.805
Br: 0.334 0.074 0.456
Br: 0.379 0.621 0.546
Br: 0.438 0.310 0.305
Br: 0.562 0.690 0.805
Br: 0.621 0.379 0.046
Br: 0.666 0.926 0.956
Br: 0.690 0.562 0.305
Br: 0.860 0.988 0.693
Br: 0.926 0.666 0.456
Br: 0.988 0.860 0.193

(11)
Er5MgCo: relaxed, PBE.

Calculated values
mass density = 7.91 g/cm3
space group = C2/c
V = 386 Å³ per cell
formation energy = 0.201 eV per formula unit

a b c (Å): 6.403 6.403 11.283
angles (deg): 108.72 108.72 64.39
Sites, in units of the cell vectors:
Er: 0.026 0.974 0.750
Er: 0.032 0.394 0.630
Er: 0.191 0.552 0.951
Er: 0.394 0.032 0.130
Er: 0.448 0.809 0.549
Er: 0.552 0.191 0.451
Er: 0.606 0.968 0.870
Er: 0.809 0.448 0.049
Er: 0.968 0.606 0.370
Er: 0.974 0.026 0.250
Mg: 0.457 0.543 0.250
Mg: 0.543 0.457 0.750
Co: 0.000 0.000 0.000
Co: 0.000 0.000 0.500

(12)
BeAlHg: relaxed, PBE.

Calculated values
mass density = 7.94 g/cm3
space group = I4mm
V = 49 Å³ per cell
formation energy = 1.127 eV per formula unit

a b c (Å): 6.212 6.212 6.212
angles (deg): 152.95 152.95 38.63
Sites, in units of the cell vectors:
Be: 0.000 0.000 0.000
Al: 0.627 0.627 0.000
Hg: 0.336 0.336 0.000

(13)
Na2GeSe2: relaxed, PBE.

Calculated values
mass density = 3.90 g/cm3
space group = P4/mbm
V = 236 Å³ per cell
energy relative to the elements, uncorrected = -0.536 eV/atom

a b c (Å): 7.564 7.564 4.119
angles (deg): 90.00 90.00 90.00
Sites, in units of the cell vectors:
Na: 0.137 0.363 0.000
Na: 0.363 0.863 0.000
Na: 0.637 0.137 0.000
Na: 0.863 0.637 0.000
Ge: 0.000 0.000 0.500
Ge: 0.500 0.500 0.500
Se: 0.176 0.676 0.500
Se: 0.324 0.176 0.500
Se: 0.676 0.824 0.500
Se: 0.824 0.324 0.500

(14)
KTlAs2: relaxed, PBE.

Calculated values
mass density = 6.15 g/cm3
space group = R-3m
V = 106 Å³ per cell
formation energy = 1.108 eV per formula unit

a b c (Å): 11.098 11.098 11.098
angles (deg): 17.36 17.36 17.36
Sites, in units of the cell vectors:
K: 0.000 0.000 0.000
Tl: 0.500 0.500 0.500
As: 0.249 0.249 0.249
As: 0.751 0.751 0.751

(15)
LaYFe2W: relaxed, PBE.

Calculated values
mass density = 8.41 g/cm3
space group = P4/mmm
V = 103 Å³ per cell
formation energy = 8.086 eV per formula unit

a b c (Å): 4.536 4.536 5.024
angles (deg): 90.00 90.00 90.00
Sites, in units of the cell vectors:
La: 0.000 0.000 0.000
Y: 0.500 0.500 0.500
Fe: 0.000 0.500 0.000
Fe: 0.500 0.000 0.000
W: 0.000 0.000 0.500

(16)
YIrCl3: relaxed, PBE.

Calculated values
mass density = 4.33 g/cm3
space group = Pm-3m
V = 149 Å³ per cell
energy relative to the elements, uncorrected = -0.339 eV/atom

a b c (Å): 5.297 5.297 5.297
angles (deg): 90.00 90.00 90.00
Sites, in units of the cell vectors:
Y: 0.000 0.000 0.000
Ir: 0.500 0.500 0.500
Cl: 0.000 0.000 0.500
Cl: 0.000 0.500 0.000
Cl: 0.500 0.000 0.000

(17)
Mn2PHAu: relaxed, PBE.

Calculated values
mass density = 5.59 g/cm3
total energy = -5.34 eV/atom
space group = P4/mmm
V = 101 Å³ per cell

a b c (Å): 4.625 4.625 4.703
angles (deg): 90.00 90.00 90.00
Sites, in units of the cell vectors:
Mn: 0.000 0.500 0.000
Mn: 0.500 0.000 0.000
P: 0.000 0.000 0.000
H: 0.500 0.500 0.500
Au: 0.000 0.000 0.500

(18)
Tb3Pr2Ag2: relaxed, PBE.

Calculated values
mass density = 7.95 g/cm3
space group = C2/m
V = 203 Å³ per cell
formation energy = -0.664 eV per formula unit

a b c (Å): 5.457 5.457 8.495
angles (deg): 108.78 108.78 60.04
Sites, in units of the cell vectors:
Tb: 0.000 0.000 0.000
Tb: 0.162 0.162 0.486
Tb: 0.838 0.838 0.514
Pr: 0.424 0.424 0.273
Pr: 0.576 0.576 0.727
Ag: 0.288 0.288 0.863
Ag: 0.712 0.712 0.137

(19)
Cd2CoMo: relaxed, PBE.

Calculated values
mass density = 9.43 g/cm3
space group = Cmmm
V = 67 Å³ per cell
formation energy = 1.799 eV per formula unit

a b c (Å): 2.783 2.783 8.636
angles (deg): 90.00 90.00 90.13
Sites, in units of the cell vectors:
Cd: 0.000 0.000 0.234
Cd: 0.000 0.000 0.766
Co: 0.500 0.500 0.000
Mo: 0.500 0.500 0.500

(20)
La5Tb4Pr: relaxed, PBE.

Calculated values
mass density = 6.98 g/cm3
space group = P4/mmm
V = 350 Å³ per cell
formation energy = 0.212 eV per formula unit

a b c (Å): 3.711 3.711 25.402
angles (deg): 90.00 90.00 90.00
Sites, in units of the cell vectors:
La: 0.000 0.000 0.000
La: 0.000 0.000 0.198
La: 0.000 0.000 0.397
La: 0.000 0.000 0.603
La: 0.000 0.000 0.802
Tb: 0.500 0.500 0.099
Tb: 0.500 0.500 0.297
Tb: 0.500 0.500 0.703
Tb: 0.500 0.500 0.901
Pr: 0.500 0.500 0.500

(21)
Hf6Tl2Ga: relaxed, PBE.

Calculated values
mass density = 11.72 g/cm3
space group = Immm
V = 219 Å³ per cell
formation energy = 3.372 eV per formula unit

a b c (Å): 8.139 8.139 8.139
angles (deg): 146.61 131.72 59.97
Sites, in units of the cell vectors:
Hf: 0.082 0.341 0.741
Hf: 0.236 0.000 0.236
Hf: 0.401 0.659 0.741
Hf: 0.599 0.341 0.259
Hf: 0.764 0.000 0.764
Hf: 0.918 0.659 0.259
Tl: 0.333 0.833 0.500
Tl: 0.667 0.167 0.500
Ga: 0.000 0.500 0.500

(22)
La2NiPN: relaxed, PBE.

Calculated values
mass density = 6.44 g/cm3
space group = P4/mmm
V = 98 Å³ per cell
energy relative to the elements, uncorrected = -1.043 eV/atom

a b c (Å): 5.138 5.138 3.725
angles (deg): 90.00 90.00 90.00
Sites, in units of the cell vectors:
La: 0.000 0.500 0.000
La: 0.500 0.000 0.000
Ni: 0.000 0.000 0.500
P: 0.500 0.500 0.500
N: 0.000 0.000 0.000

(23)
PrSmZnFe: relaxed, PBE.

Calculated values
mass density = 7.38 g/cm3
space group = F-43m
V = 93 Å³ per cell
formation energy = 0.073 eV per formula unit

a b c (Å): 5.081 5.081 5.081
angles (deg): 60.00 60.00 60.00
Sites, in units of the cell vectors:
Pr: 0.000 0.000 0.000
Sm: 0.500 0.500 0.500
Zn: 0.250 0.250 0.250
Fe: 0.750 0.750 0.750